# 1
TaZn2Ag | GGA-PBEsol | optimized geometry

Values from the calculation:
As for the energy relative to the lowest polymorph listed for this composition: 0.282 eV per atom. The calculation puts the formation energy at 1.0 eV/f.u.

a = 6.2469 Å, b = 6.2469 Å, c = 6.2469 Å
α = 90.00°, β = 90.00°, γ = 90.00°
With the nearest neighbours (Å) after each atom.
Fractional coordinates of all 16 atoms:
1 Ta 0.0000 0.0000 0.0000  8 Zn 2.71
2 Ta 0.0000 0.5000 0.5000  8 Zn 2.71
3 Ta 0.5000 0.0000 0.5000  8 Zn 2.71
4 Ta 0.5000 0.5000 0.0000  8 Zn 2.71
5 Zn 0.2500 0.2500 0.2500  4 Ag 2.71, 4 Ta 2.71
6 Zn 0.2500 0.2500 0.7500  4 Ta 2.71, 4 Ag 2.71
7 Zn 0.2500 0.7500 0.2500  4 Ta 2.71, 4 Ag 2.71
8 Zn 0.2500 0.7500 0.7500  4 Ta 2.71, 4 Ag 2.71
9 Zn 0.7500 0.2500 0.2500  4 Ta 2.71, 4 Ag 2.71
10 Zn 0.7500 0.2500 0.7500  4 Ta 2.71, 4 Ag 2.71
11 Zn 0.7500 0.7500 0.2500  4 Ta 2.71, 4 Ag 2.71
12 Zn 0.7500 0.7500 0.7500  4 Ta 2.71, 4 Ag 2.71
13 Ag 0.0000 0.0000 0.5000  8 Zn 2.71
14 Ag 0.0000 0.5000 0.0000  8 Zn 2.71
15 Ag 0.5000 0.0000 0.0000  8 Zn 2.71
16 Ag 0.5000 0.5000 0.5000  8 Zn 2.71

# 2
SrY2P | GGA-PBEsol | optimized geometry

Values from the calculation:
The calculation puts the formation energy at -2.0 eV/f.u.

a = 3.6540 Å, b = 4.1367 Å, c = 16.3588 Å
α = 90.00°, β = 90.00°, γ = 90.00°
With the nearest neighbours (Å) after each atom.
Fractional coordinates of all 8 atoms:
1 Sr 0.0000 0.0000 0.0000  6 Y 3.54-3.89, 2 P 3.54, 2 Sr 3.65
2 Sr 0.5000 0.5000 0.5000  6 Y 3.54-3.89, 2 P 3.54, 2 Sr 3.65
3 Y 0.0000 0.0000 0.6678  2 P 3.02, 2 Y 3.29
4 Y 0.0000 0.5000 0.8244  4 P 2.76
5 Y 0.5000 0.0000 0.3244  4 P 2.76
6 Y 0.5000 0.5000 0.1678  2 P 3.02, 2 Y 3.29
7 P 0.0000 0.5000 0.3145  6 Y 2.76-3.02
8 P 0.5000 0.0000 0.8145  6 Y 2.76-3.02

# 3
BaMnCdAu2 | GGA-PBEsol | optimized geometry

Values from the calculation:
The calculation puts the formation energy at 3.9 eV/f.u.

a = 5.1700 Å, b = 5.1700 Å, c = 5.8805 Å
α = 90.00°, β = 90.00°, γ = 90.00°
With the nearest neighbours (Å) after each atom.
Fractional coordinates of all 5 atoms:
1 Ba 0.0000 0.0000 0.0000  2 Cd 2.94
2 Mn 0.5000 0.5000 0.0000  4 Ba 3.66, 8 Au 3.92
3 Cd 0.0000 0.0000 0.5000  4 Au 2.59
4 Au 0.0000 0.5000 0.5000  2 Cd 2.59
5 Au 0.5000 0.0000 0.5000  2 Cd 2.59

# 4
Be2IrCl | GGA-PBEsol | optimized geometry

Values from the calculation:
As for the energy relative to the lowest polymorph listed for this composition: 0.000 eV per atom. The calculation puts the uncorrected formation energy at -0.184 eV/atom.

a = 7.1206 Å, b = 2.9487 Å, c = 6.2692 Å
α = 90.00°, β = 113.55°, γ = 90.00°
With the nearest neighbours (Å) after each atom.
Fractional coordinates of all 8 atoms:
1 Be 0.0000 0.0000 0.0000  1 Cl 1.95, 1 Be 2.18
2 Be 0.1663 0.5000 0.8383  3 Ir 2.16-2.23, 3 Be 2.18-2.36
3 Be 0.5000 0.5000 0.0000  1 Cl 1.95, 1 Be 2.18
4 Be 0.6663 0.0000 0.8383  3 Ir 2.16-2.23, 3 Be 2.18-2.36
5 Ir 0.3371 0.0000 0.7172  5 Be 2.16-2.24
6 Ir 0.8371 0.5000 0.7172  5 Be 2.16-2.24
7 Cl 0.2404 0.0000 0.2946  1 Be 1.95
8 Cl 0.7404 0.5000 0.2946  1 Be 1.95

# 5
AsOsBr2 | GGA-PBEsol | optimized geometry

Values from the calculation:
As for the energy relative to the lowest polymorph listed for this composition: 0.000 eV per atom. The calculation puts the uncorrected formation energy at 0.414 eV/atom.

a = 3.0018 Å, b = 3.0018 Å, c = 9.3066 Å
α = 90.00°, β = 90.00°, γ = 90.00°
With the nearest neighbours (Å) after each atom.
Fractional coordinates of all 4 atoms:
1 As 0.0000 0.0000 0.0000  4 Os 2.57
2 Os 0.5000 0.5000 0.8444  4 As 2.57, 4 Br 2.82
3 Br 0.0000 0.0000 0.6450  4 Os 2.82, 4 Br 3.00
4 Br 0.5000 0.5000 0.3015  4 Br 3.00

# 6
Cd2TeN | GGA-PBEsol | optimized geometry

Values from the calculation:
The calculation puts the uncorrected formation energy at 0.310 eV/atom.

a = 5.9046 Å, b = 5.9046 Å, c = 10.6188 Å
α = 90.00°, β = 90.00°, γ = 90.00°
With the nearest neighbours (Å) after each atom.
Fractional coordinates of all 16 atoms:
1 Cd 0.1405 0.2500 0.1250  2 N 2.15
2 Cd 0.2500 0.6405 0.3750  2 N 2.15
3 Cd 0.2500 0.8595 0.8750  2 N 2.15
4 Cd 0.3595 0.2500 0.6250  2 N 2.15
5 Cd 0.6405 0.7500 0.6250  2 N 2.15
6 Cd 0.7500 0.1405 0.8750  2 N 2.15
7 Cd 0.7500 0.3595 0.3750  2 N 2.15
8 Cd 0.8595 0.7500 0.1250  2 N 2.15
9 Te 0.0000 0.0000 0.5000  4 Cd 2.91
10 Te 0.0000 0.5000 0.7500  4 Cd 2.91
11 Te 0.5000 0.0000 0.2500  4 Cd 2.91
12 Te 0.5000 0.5000 0.0000  4 Cd 2.91
13 N 0.0000 0.0000 0.0000  4 Cd 2.15
14 N 0.0000 0.5000 0.2500  4 Cd 2.15
15 N 0.5000 0.0000 0.7500  4 Cd 2.15
16 N 0.5000 0.5000 0.5000  4 Cd 2.15

# 7
SrCrTe2I | GGA-PBEsol | optimized geometry

Values from the calculation:
The calculation puts the uncorrected formation energy at -0.536 eV/atom.

a = 5.3071 Å, b = 5.3071 Å, c = 5.4785 Å
α = 90.00°, β = 90.00°, γ = 90.00°
With the nearest neighbours (Å) after each atom.
Fractional coordinates of all 5 atoms:
1 Sr 0.0000 0.0000 0.0000  4 I 3.75, 8 Te 3.81
2 Cr 0.5000 0.5000 0.5000  4 Te 2.65, 2 I 2.74
3 Te 0.0000 0.5000 0.5000  2 Cr 2.65
4 Te 0.5000 0.0000 0.5000  2 Cr 2.65
5 I 0.5000 0.5000 0.0000  2 Cr 2.74

# 8
CoSb2TeOs | GGA-PBEsol | optimized geometry

Values from the calculation:
The calculation puts the uncorrected formation energy at 1.260 eV/atom.

a = 4.9529 Å, b = 4.9529 Å, c = 5.4659 Å
α = 90.00°, β = 90.00°, γ = 90.00°
With the nearest neighbours (Å) after each atom.
Fractional coordinates of all 5 atoms:
1 Co 0.0000 0.0000 0.0000  4 Te 3.50, 8 Sb 3.69
2 Sb 0.0000 0.5000 0.5000  2 Os 2.48
3 Sb 0.5000 0.0000 0.5000  2 Os 2.48
4 Te 0.5000 0.5000 0.0000  2 Os 2.73
5 Os 0.5000 0.5000 0.5000  4 Sb 2.48, 2 Te 2.73